This record from the Alexandria database describes a relaxed structure of IrRu2Cl. The functional is GGA-PBEsol.

Values from the calculation:
formation energy without anion corrections: 971 meV per atom
DOS at the Fermi energy: 0.8580 states/eV/atom
offset from the most stable computed form: 629 meV/atom

a = 4.4929 Å, b = 4.4929 Å, c = 4.4929 Å
α = 126.99°, β = 126.99°, γ = 78.27°
Element x y z (fractional)
Ir: 0.0000 0.0000 0.0000
Ru: 0.5000 0.5000 0.0000
Ru: 0.7500 0.2500 0.5000
Cl: 0.2500 0.7500 0.5000